[1]
4
Lattice="0.000 3.234 3.234 3.234 0.000 3.234 3.234 3.234 0.000" Properties=species:S:1:pos:R:3 comment="YAlCoW, optimized geometry, DFT PBE" density_g_cm3=8.8 volume_a3_per_atom=16.91 crystal_system=cubic dft_energy_ev_per_cell=-28.65 sg=F-43m pbc="T T T"
Y 0.000 0.000 0.000
Al 3.234 3.234 3.234
Co 4.851 4.851 4.851
W 1.617 1.617 1.617

[2]
4
Lattice="0.000 3.264 3.264 3.264 0.000 3.264 3.264 3.264 0.000" Properties=species:S:1:pos:R:3 comment="YAlCoW, optimized geometry, DFT PBE" density_g_cm3=8.6 volume_a3_per_atom=17.38 crystal_system=cubic dft_energy_ev_per_cell=-28.20 sg=F-43m pbc="T T T"
Y 0.000 0.000 0.000
Al 1.632 1.632 1.632
Co 3.264 3.264 3.264
W 4.895 4.895 4.895

[3]
4
Lattice="0.000 3.153 3.153 3.153 0.000 3.153 3.153 3.153 0.000" Properties=species:S:1:pos:R:3 comment="ZrAlCoW, optimized geometry, DFT PBE" density_g_cm3=9.6 volume_a3_per_atom=15.68 crystal_system=cubic dft_energy_ev_per_cell=-31.92 sg=F-43m pbc="T T T"
Zr 0.000 0.000 0.000
Al 3.153 3.153 3.153
Co 4.730 4.730 4.730
W 1.577 1.577 1.577

[4]
24
Lattice="0.000 6.671 6.671 6.671 0.000 6.671 6.671 6.671 0.000" Properties=species:S:1:pos:R:3 comment="Y4AlCo, optimized geometry, DFT PBE" density_g_cm3=4.9 volume_a3_per_atom=24.74 crystal_system=cubic dft_energy_ev_per_cell=-153.38 sg=F-43m pbc="T T T"
Y 6.671 6.671 2.513
Y 6.671 2.513 6.671
Y 10.829 6.671 6.671
Y 5.341 5.341 5.341
Y 8.002 8.002 5.341
Y 8.002 5.341 8.002
Y 10.007 10.007 7.448
Y 10.007 7.448 10.007
Y 12.566 10.007 10.007
Y 5.341 8.002 8.002
Y 2.513 6.671 6.671
Y 6.671 10.829 6.671
Y 6.671 6.671 10.829
Y 7.448 10.007 10.007
Y 10.007 12.566 10.007
Y 10.007 10.007 12.566
Al 2.306 2.306 2.306
Al 4.365 4.365 2.306
Al 4.365 2.306 4.365
Al 2.306 4.365 4.365
Co 8.125 5.218 5.218
Co 5.218 8.125 5.218
Co 5.218 5.218 8.125
Co 8.125 8.125 8.125